This record from the Alexandria database describes crystalline Li2Al9V at its relaxed geometry. The functional is PBE. Values from VASP.

Structure (Quantum ESPRESSO input):
```
&SYSTEM
  ibrav = 0, nat = 12, ntyp = 3
/
ATOMIC_SPECIES
Al 26.98 Al.upf
V 50.94 V.upf
Li 6.94 Li.upf
CELL_PARAMETERS angstrom
-3.8029 0.7559 0.7639
-0.8630 -0.4744 -3.8272
-1.9514 -11.7311 1.8941
ATOMIC_POSITIONS crystal
Al 0.5000 0.5000 0.3295
Al 0.5000 0.0000 0.8374
V 0.0000 0.0000 0.0000
Al 0.5000 0.5000 0.0000
Al 0.5000 0.0000 0.1626
Li 0.0000 0.0000 0.3326
Al 0.0000 0.5000 0.8374
Al 0.5000 0.5000 0.6705
Al 0.5000 0.0000 0.5000
Al 0.0000 0.5000 0.1626
Li 0.0000 0.0000 0.6674
Al 0.0000 0.5000 0.5000
```

Properties
Density = 2.72 g/cm3
Energy of formation = -0.1254 eV/atom
Crystal system = tetragonal

This record from the Alexandria database describes crystalline Li2AlV at its relaxed geometry. The functional is PBE. Values from VASP.

Structure (Quantum ESPRESSO input):
```
&SYSTEM
  ibrav = 0, nat = 8, ntyp = 3
/
ATOMIC_SPECIES
Li 6.94 Li.upf
V 50.94 V.upf
Al 26.98 Al.upf
CELL_PARAMETERS angstrom
7.1226 0.0000 0.0000
0.0000 7.1226 0.0000
3.5613 3.5613 2.6489
ATOMIC_POSITIONS crystal
Li 0.3750 0.3810 0.7500
Li 0.8750 0.8690 0.7500
Li 0.1310 0.6250 0.2500
V 0.7500 0.2500 0.5000
V 0.0000 0.0000 0.0000
Li 0.6190 0.1250 0.2500
Al 0.2500 0.7500 0.5000
Al 0.5000 0.5000 0.0000
```

Properties
Density = 2.27 g/cm3
Energy of formation = 0.4923 eV/atom
Crystal system = tetragonal

This record from the Alexandria database describes crystalline LiAl2V at its relaxed geometry. The functional is PBE. Values from VASP.

Structure (Quantum ESPRESSO input):
```
&SYSTEM
  ibrav = 0, nat = 4, ntyp = 3
/
ATOMIC_SPECIES
Al 26.98 Al.upf
V 50.94 V.upf
Li 6.94 Li.upf
CELL_PARAMETERS angstrom
2.8148 0.0000 0.0000
0.0000 4.5383 0.0000
0.0000 0.0000 4.5383
ATOMIC_POSITIONS crystal
Al 0.0000 0.5000 0.0000
V 0.5000 0.5000 0.5000
Li 0.5000 0.0000 0.0000
Al 0.0000 0.0000 0.5000
```

Properties
Density = 3.20 g/cm3
Energy of formation = -0.1828 eV/atom
Crystal system = tetragonal

This record from the Alexandria database describes crystalline LiAl4V at its relaxed geometry. The functional is PBE. Values from VASP.

Structure (Quantum ESPRESSO input):
```
&SYSTEM
  ibrav = 0, nat = 12, ntyp = 3
/
ATOMIC_SPECIES
Al 26.98 Al.upf
V 50.94 V.upf
Li 6.94 Li.upf
CELL_PARAMETERS angstrom
5.0544 -0.4409 0.0000
-1.8972 6.6872 0.0000
-1.5786 -3.1232 5.9754
ATOMIC_POSITIONS crystal
Al 0.2459 0.2999 0.3671
V 0.7515 0.0015 0.0030
Al 0.9746 0.8380 0.2534
Al 0.3788 0.9328 0.6329
Li 0.6737 0.4237 0.8475
V 0.2485 0.9985 0.9970
Al 0.7788 0.4154 0.2534
Al 0.0254 0.1620 0.7466
Al 0.7541 0.7001 0.6329
Li 0.3263 0.5763 0.1525
Al 0.6212 0.0672 0.3671
Al 0.2212 0.5846 0.7466
```

Properties
Density = 2.80 g/cm3
Energy of formation = -0.0685 eV/atom
Crystal system = monoclinic